[1]
DFT (PBE-GGA) results for an optimized crystal structure of TiIn.

Its total DFT energy (no corrections) is -4.0216 eV per atom. Its formation enthalpy at 0 K is 1.30 eV/atom.

The space group is F-43m (No. 216) and the conventional cell measures 6.3062, 6.3062 and 6.3062 Å, with angles of 90.00, 90.00 and 90.00 degrees. Symmetry generates all atoms from Ti at (0.0000, 0.0000, 0.0000) and In at (0.2500, 0.2500, 0.7500).



[2]
DFT (PBE-GGA) results for an optimized crystal structure of ScUReRu.

Its total DFT energy (no corrections) is -9.9844 eV per atom. Its formation enthalpy at 0 K is -0.15 eV/atom.

The space group is F-43m (No. 216) and the conventional cell measures 6.6301, 6.6301 and 6.6301 Å, with angles of 90.00, 90.00 and 90.00 degrees. Symmetry generates all atoms from Sc at (0.0000, 0.0000, 0.0000), U at (0.0000, 0.0000, 0.5000), Re at (0.2500, 0.2500, 0.7500) and Ru at (0.2500, 0.2500, 0.2500).



[3]
DFT (PBE-GGA) results for an optimized crystal structure of Th2Be3CuPt4.

Its total DFT energy (no corrections) is -6.2524 eV per atom. Its formation enthalpy at 0 K is -0.82 eV/atom.

The space group is P-4m2 (No. 115) and the conventional cell measures 4.0437, 4.0437 and 10.2283 Å, with angles of 90.00, 90.00 and 90.00 degrees. Symmetry generates all atoms from Th at (0.0000, 0.5000, 0.2485), Be at (0.0000, 0.5000, 0.8825), Be at (0.5000, 0.5000, 0.5000), Cu at (0.0000, 0.0000, 0.5000), Pt at (0.0000, 0.0000, 0.0000), Pt at (0.0000, 0.5000, 0.6502) and Pt at (0.5000, 0.5000, 0.0000).



[4]
DFT (PBE-GGA) results for an optimized crystal structure of Nd5Hg2.

Its total DFT energy (no corrections) is -3.7247 eV per atom. The distance to the lowest polymorph of the same formula is 0.0 meV per atom. Its formation enthalpy at 0 K is -0.23 eV/atom.

The space group is C2/c (No. 15) and the conventional cell measures 16.6139, 7.9708 and 6.6712 Å, with angles of 90.00, 93.88 and 90.00 degrees. Symmetry generates all atoms from Nd at (0.0000, 0.0298, 0.2500), Nd at (0.0823, 0.3657, 0.5233), Nd at (0.2315, 0.0784, 0.7223) and Hg at (0.1182, 0.2521, 0.0169).



[5]
DFT (PBE-GGA) results for an optimized crystal structure of KTaS3.

Its total DFT energy (no corrections) is -6.0468 eV per atom. The distance to the lowest polymorph of the same formula is 142.1 meV per atom. As for the formation energy (no corrections): -0.98 eV per atom.

The space group is Pm-3m (No. 221) and the conventional cell measures 4.8571, 4.8571 and 4.8571 Å, with angles of 90.00, 90.00 and 90.00 degrees. Symmetry generates all atoms from K at (0.0000, 0.0000, 0.0000), Ta at (0.5000, 0.5000, 0.5000) and S at (0.0000, 0.5000, 0.5000).



[6]
DFT (PBE-GGA) results for an optimized crystal structure of PmInPdRh.

Its total DFT energy (no corrections) is -5.6726 eV per atom. Its formation enthalpy at 0 K is -0.66 eV/atom.

The space group is F-43m (No. 216) and the conventional cell measures 6.8305, 6.8305 and 6.8305 Å, with angles of 90.00, 90.00 and 90.00 degrees. Symmetry generates all atoms from Pm at (0.0000, 0.0000, 0.0000), In at (0.0000, 0.0000, 0.5000), Pd at (0.2500, 0.2500, 0.2500) and Rh at (0.2500, 0.2500, 0.7500).



[7]
DFT (PBE-GGA) results for an optimized crystal structure of ZrSi3Pt.

Its total DFT energy (no corrections) is -4.9293 eV per atom. As for the formation energy (no corrections): 1.24 eV per atom.

The space group is Pm-3m (No. 221) and the conventional cell measures 4.9612, 4.9612 and 4.9612 Å, with angles of 90.00, 90.00 and 90.00 degrees. Symmetry generates all atoms from Zr at (0.0000, 0.0000, 0.0000), Si at (0.0000, 0.0000, 0.5000) and Pt at (0.5000, 0.5000, 0.5000).



[8]
DFT (PBE-GGA) results for an optimized crystal structure of Al2AsP.

Its total DFT energy (no corrections) is -4.6544 eV per atom. The distance to the lowest polymorph of the same formula is 279.3 meV per atom. Its formation enthalpy at 0 K is -0.27 eV/atom.

The space group is R-3m (No. 166, hexagonal axes) and the conventional cell measures 3.6331, 3.6331 and 18.3742 Å, with angles of 90.00, 90.00 and 120.00 degrees. Symmetry generates all atoms from Al at (0.0000, 0.0000, 0.2441), As at (0.0000, 0.0000, 0.0000) and P at (0.0000, 0.0000, 0.5000).



[9]
DFT (PBE-GGA) results for an optimized crystal structure of K2MgFe.

Its total DFT energy (no corrections) is -2.1987 eV per atom. The distance to the lowest polymorph of the same formula is 275.7 meV per atom. Its formation enthalpy at 0 K is 0.86 eV/atom.

The space group is Pmmm (No. 47) and the conventional cell measures 3.7552, 5.2516 and 7.1165 Å, with angles of 90.00, 90.00 and 90.00 degrees. Symmetry generates all atoms from K at (0.0000, 0.0000, 0.2360), Mg at (0.5000, 0.5000, 0.5000) and Fe at (0.5000, 0.5000, 0.0000).



[10]
DFT (PBE-GGA) results for an optimized crystal structure of Na3CoGe.

Its total DFT energy (no corrections) is -2.2148 eV per atom. The distance to the lowest polymorph of the same formula is 33.9 meV per atom. Its formation enthalpy at 0 K is 0.92 eV/atom.

The space group is Pm-3m (No. 221) and the conventional cell measures 5.2745, 5.2745 and 5.2745 Å, with angles of 90.00, 90.00 and 90.00 degrees. Symmetry generates all atoms from Na at (0.0000, 0.0000, 0.5000), Co at (0.0000, 0.0000, 0.0000) and Ge at (0.5000, 0.5000, 0.5000).



[11]
DFT (PBE-GGA) results for an optimized crystal structure of Sr2CaLaPd.

Its total DFT energy (no corrections) is -3.3313 eV per atom. Its formation enthalpy at 0 K is -0.23 eV/atom.

The space group is P4/mmm (No. 123) and the conventional cell measures 6.0962, 6.0962 and 5.6780 Å, with angles of 90.00, 90.00 and 90.00 degrees. Symmetry generates all atoms from Sr at (0.0000, 0.5000, 0.0000), Ca at (0.0000, 0.0000, 0.5000), La at (0.5000, 0.5000, 0.5000) and Pd at (0.5000, 0.5000, 0.0000).



[12]
DFT (PBE-GGA) results for an optimized crystal structure of VCd3Pt.

Its total DFT energy (no corrections) is -3.0040 eV per atom. The distance to the lowest polymorph of the same formula is 0.0 meV per atom. Its formation enthalpy at 0 K is 0.58 eV/atom.

The space group is Pm-3m (No. 221) and the conventional cell measures 5.1444, 5.1444 and 5.1444 Å, with angles of 90.00, 90.00 and 90.00 degrees. Symmetry generates all atoms from V at (0.0000, 0.0000, 0.0000), Cd at (0.0000, 0.5000, 0.5000) and Pt at (0.5000, 0.5000, 0.5000).



[13]
DFT (PBE-GGA) results for an optimized crystal structure of Ag2Bi2I.

Its total DFT energy (no corrections) is -2.8412 eV per atom. The distance to the lowest polymorph of the same formula is 25.8 meV per atom. As for the formation energy (no corrections): 0.16 eV per atom.

The space group is P4/mbm (No. 127) and the conventional cell measures 8.9230, 8.9230 and 3.5224 Å, with angles of 90.00, 90.00 and 90.00 degrees. Symmetry generates all atoms from Ag at (0.1146, 0.3854, 0.0000), Bi at (0.1812, 0.6812, 0.5000) and I at (0.0000, 0.0000, 0.5000).



[14]
DFT (PBE-GGA) results for an optimized crystal structure of NaAcRh2.

Its total DFT energy (no corrections) is -5.0796 eV per atom. Its formation enthalpy at 0 K is -0.05 eV/atom.

The space group is P4/mmm (No. 123) and the conventional cell measures 3.6419, 3.6419 and 6.5119 Å, with angles of 90.00, 90.00 and 90.00 degrees. Symmetry generates all atoms from Na at (0.0000, 0.0000, 0.0000), Ac at (0.0000, 0.0000, 0.5000) and Rh at (0.5000, 0.5000, 0.2596).



[15]
DFT (PBE-GGA) results for an optimized crystal structure of HoTl2AgCl6.

Its total DFT energy (no corrections) is -3.7536 eV per atom. As for the formation energy (no corrections): -1.43 eV per atom.

The space group is P2_1/c (No. 14) and the conventional cell measures 7.3692, 7.6869 and 12.6556 Å, with angles of 90.00, 125.02 and 90.00 degrees. Symmetry generates all atoms from Ho at (0.0000, 0.0000, 0.0000), Tl at (0.2702, 0.0664, 0.7514), Ag at (0.5000, 0.0000, 0.5000), Cl at (0.1605, 0.0187, 0.2476), Cl at (0.2331, 0.7151, 0.0430) and Cl at (0.3325, 0.1921, 0.0425).



[16]
DFT (PBE-GGA) results for an optimized crystal structure of HfZrZnRh.

Its total DFT energy (no corrections) is -7.3100 eV per atom. Its formation enthalpy at 0 K is -0.53 eV/atom.

The space group is P4mm (No. 99) and the conventional cell measures 3.3274, 3.3274 and 6.5274 Å, with angles of 90.00, 90.00 and 90.00 degrees. Symmetry generates all atoms from Hf at (0.0000, 0.0000, 0.0000), Zr at (0.0000, 0.0000, 0.5105), Zn at (0.5000, 0.5000, 0.2509) and Rh at (0.5000, 0.5000, 0.7730).



[17]
DFT (PBE-GGA) results for an optimized crystal structure of Sr2TaPN5.

Its total DFT energy (no corrections) is -7.6332 eV per atom. As for the formation energy (no corrections): -0.72 eV per atom.

The space group is Cmc2_1 (No. 36) and the conventional cell measures 3.1668, 14.3901 and 11.5069 Å, with angles of 90.00, 90.00 and 90.00 degrees. Symmetry generates all atoms from Sr at (0.0000, 0.0925, 0.0000), Sr at (0.0000, 0.1424, 0.6737), Ta at (0.0000, 0.2100, 0.3877), P at (0.0000, 0.4404, 0.7607), N at (0.0000, 0.0410, 0.3378), N at (0.0000, 0.2961, 0.9995), N at (0.0000, 0.3266, 0.7577), N at (0.0000, 0.3371, 0.3526) and N at (0.0000, 0.4977, 0.6433).



[18]
DFT (PBE-GGA) results for an optimized crystal structure of Sm8Tm3Sc2.

Its total DFT energy (no corrections) is -4.6898 eV per atom. The distance to the lowest polymorph of the same formula is 2.9 meV per atom. Its formation enthalpy at 0 K is 0.22 eV/atom.

The space group is C2/m (No. 12) and the conventional cell measures 14.9636, 9.1503 and 6.6960 Å, with angles of 90.00, 109.13 and 90.00 degrees. Symmetry generates all atoms from Sm at (0.0963, 0.0000, 0.2132), Sm at (0.1219, 0.1812, 0.6940), Sm at (0.1883, 0.5000, 0.3895), Tm at (0.0000, 0.3314, 0.0000), Tm at (0.0000, 0.5000, 0.5000) and Sc at (0.1946, 0.5000, 0.9176).



[19]
DFT (PBE-GGA) results for an optimized crystal structure of LiSnS.

Its total DFT energy (no corrections) is -3.9588 eV per atom. The distance to the lowest polymorph of the same formula is 155.6 meV per atom. As for the formation energy (no corrections): -0.61 eV per atom.

The space group is Pnma (No. 62) and the conventional cell measures 10.1624, 3.8902 and 6.8171 Å, with angles of 90.00, 90.00 and 90.00 degrees. Symmetry generates all atoms from Li at (0.1623, 0.2500, 0.1608), Sn at (0.0709, 0.2500, 0.6434) and S at (0.2113, 0.7500, 0.9660).



[20]
DFT (PBE-GGA) results for an optimized crystal structure of NbV7Mo4.

Its total DFT energy (no corrections) is -9.8267 eV per atom. Its formation enthalpy at 0 K is -0.06 eV/atom.

The space group is P-1 (No. 2) and the conventional cell measures 2.7276, 5.0402 and 26.1236 Å, with angles of 88.37, 89.09 and 79.01 degrees. Symmetry generates all atoms from Nb at (0.0017, 0.0006, 0.2500), V at (0.0060, 0.0031, 0.9192), V at (0.0073, 0.0036, 0.4192), V at (0.2531, 0.2470, 0.6632), V at (0.2561, 0.2480, 0.1633), V at (0.2602, 0.2445, 0.4997), V at (0.2598, 0.2445, 0.9997), V at (0.4982, 0.4994, 0.7500), Mo at (0.2502, 0.2548, 0.8360), Mo at (0.2530, 0.2558, 0.3360), Mo at (0.4974, 0.5069, 0.9195) and Mo at (0.4991, 0.5075, 0.4196).